[1]
The following is a DFT calculation (GGA-PBE) of Ti2Sn2Os after structural relaxation.

The structure in extended XYZ format:
```
10
Lattice="6.567 0.000 0.000 0.000 6.567 0.000 0.000 0.000 4.529" Properties=species:S:1:pos:R:3 pbc="T T T"
Ti 0.993 2.291 0.000
Ti 2.291 5.574 0.000
Ti 4.276 0.993 0.000
Ti 5.574 4.276 0.000
Sn 1.100 4.384 2.264
Sn 2.183 1.100 2.264
Sn 4.384 5.466 2.264
Sn 5.466 2.183 2.264
Os 0.000 0.000 0.000
Os 3.283 3.283 0.000
```

* energy relative to the elements: 2.37 kcal/mol of atoms
* crystal system: tetragonal
* volume: 19.529 Å³/atom
* excess energy over the best structure of this formula in the dataset: 0.053 eV per atom

***

[2]
The following is a DFT calculation (GGA-PBE) of TlSn3Os after structural relaxation.

The structure in extended XYZ format:
```
5
Lattice="5.198 0.000 0.000 0.000 5.198 0.000 0.000 0.000 5.198" Properties=species:S:1:pos:R:3 pbc="T T T"
Tl 0.000 0.000 0.000
Sn 0.000 2.599 2.599
Sn 2.599 0.000 2.599
Sn 2.599 2.599 0.000
Os 2.599 2.599 2.599
```

* energy relative to the elements: 6.44 kcal/mol of atoms
* crystal system: cubic
* volume: 28.096 Å³/atom
* excess energy over the best structure of this formula in the dataset: 0.000 eV per atom

***

Repeat the second record exactly.
The following is a DFT calculation (GGA-PBE) of TlSn3Os after structural relaxation.

The structure in extended XYZ format:
```
5
Lattice="5.198 0.000 0.000 0.000 5.198 0.000 0.000 0.000 5.198" Properties=species:S:1:pos:R:3 pbc="T T T"
Tl 0.000 0.000 0.000
Sn 0.000 2.599 2.599
Sn 2.599 0.000 2.599
Sn 2.599 2.599 0.000
Os 2.599 2.599 2.599
```

* energy relative to the elements: 6.44 kcal/mol of atoms
* crystal system: cubic
* volume: 28.096 Å³/atom
* excess energy over the best structure of this formula in the dataset: 0.000 eV per atom

***

> Among the records above, which one has the lowest excess energy over the best structure of this formula in the dataset?

TlSn3Os

***

> The lowest excess energy over the best structure of this formula in the dataset belongs to which entry?

TlSn3Os